DFT (PBE) results for a relaxed Ba3DyPt2O6 crystal.

Computed properties:
Raw formation energy ... -1.76 eV per atom
Final energy ... -6.108 eV per atom

abc: 5.9967 5.9967 6.9827
angles: 90.00 90.00 120.00
Space group P-3m1 (No. 164)
Inequivalent atoms, fractional coordinates:
Ba (0.0000, 0.0000, 0.0000) (multiplicity 1)
Ba (0.3333, 0.6667, 0.6519) (multiplicity 2)
Dy (0.0000, 0.0000, 0.5000) (multiplicity 1)
Pt (0.3333, 0.6667, 0.1382) (multiplicity 2)
O (0.1698, 0.3397, 0.3099) (multiplicity 6)

***

DFT (PBE) results for a relaxed BaDy4Pt3O12 crystal.

Computed properties:
Raw formation energy ... -2.15 eV per atom
Final energy ... -7.051 eV per atom

abc: 8.311 8.311 8.311
angles: 90.00 90.00 90.00
Space group Im-3 (No. 204)
Inequivalent atoms, fractional coordinates:
Ba (0.000, 0.000, 0.000) (multiplicity 2)
Dy (0.250, 0.250, 0.250) (multiplicity 8)
Pt (0.000, 0.000, 0.500) (multiplicity 6)
O (0.000, 0.159, 0.319) (multiplicity 24)

***

DFT (PBE) results for a relaxed Ba2DyPt3O12 crystal.

Computed properties:
Raw formation energy ... -1.29 eV per atom
Final energy ... -6.076 eV per atom

abc: 7.3159 7.3159 17.1377
angles: 90.00 90.00 120.00
Space group R-3m (No. 166, hexagonal axes)
Inequivalent atoms, fractional coordinates:
Ba (0.0000, 0.0000, 0.1149) (multiplicity 6)
Dy (0.0000, 0.0000, 0.5000) (multiplicity 3)
Pt (0.0000, 0.5000, 0.0000) (multiplicity 9)
O (0.0039, 0.5020, 0.8859) (multiplicity 18)
O (0.0460, 0.5230, 0.3289) (multiplicity 18)

***

DFT (PBE) results for a relaxed Ba13Dy8Zn4Pt4O37 crystal.

Computed properties:
Raw formation energy ... -2.45 eV per atom
Final energy ... -6.606 eV per atom

abc: 18.919 18.919 5.779
angles: 90.00 90.00 90.00
Space group I4/m (No. 87)
Inequivalent atoms, fractional coordinates:
Ba (0.000, 0.000, 0.000) (multiplicity 2)
Ba (0.017, 0.392, 0.000) (multiplicity 8)
Ba (0.064, 0.137, 0.500) (multiplicity 8)
Ba (0.071, 0.796, 0.000) (multiplicity 8)
Dy (0.122, 0.316, 0.500) (multiplicity 8)
Dy (0.193, 0.738, 0.500) (multiplicity 8)
Zn (0.103, 0.218, 0.000) (multiplicity 8)
Pt (0.037, 0.700, 0.500) (multiplicity 8)
O (0.000, 0.000, 0.500) (multiplicity 2)
O (0.016, 0.397, 0.500) (multiplicity 8)
O (0.036, 0.270, 0.257) (multiplicity 16)
O (0.063, 0.124, 0.000) (multiplicity 8)
O (0.082, 0.801, 0.500) (multiplicity 8)
O (0.112, 0.673, 0.258) (multiplicity 16)
O (0.177, 0.234, 0.252) (multiplicity 16)